Record 1
First-principles (GGA-PBE) data for Zn5Si after structural relaxation, as listed in OQMD via LeMat-Bulk.

Output
crystal system = hexagonal

Cell and atoms, written as CIF:
```
data_Zn5Si
_chemical_formula_sum 'Zn5 Si1'
_cell_length_a 4.6935
_cell_length_b 4.6935
_cell_length_c 4.7271
_cell_angle_alpha 90.00
_cell_angle_beta 90.00
_cell_angle_gamma 120.00
_space_group_name_H-M_alt 'P -6 2 m'
_space_group_IT_number 189
_space_group_name_Hall 'P -6 -2'
loop_
_atom_site_label
_atom_site_type_symbol
_atom_site_fract_x
_atom_site_fract_y
_atom_site_fract_z
Zn1 Zn 0.0000 0.3340 0.0000
Zn2 Zn 0.3333 0.6667 0.5000
Si1 Si 0.0000 0.0000 0.5000
```



Record 2
First-principles (GGA-PBE) data for Y2Al2PdPt3 after structural relaxation, as listed in OQMD via LeMat-Bulk.

Output
crystal system = trigonal

Cell and atoms, written as CIF:
```
data_Y2Al2PdPt3
_chemical_formula_sum 'Y2 Al2 Pd1 Pt3'
_cell_length_a 4.3495
_cell_length_b 4.3495
_cell_length_c 9.2538
_cell_angle_alpha 90.00
_cell_angle_beta 90.00
_cell_angle_gamma 120.00
_space_group_name_H-M_alt 'P 3 m 1'
_space_group_IT_number 156
loop_
_space_group_symop_operation_xyz
'x,y,z'
'-y,x-y,z'
'-x+y,-x,z'
'-y,-x,z'
'-x+y,y,z'
'x,x-y,z'
loop_
_atom_site_label
_atom_site_type_symbol
_atom_site_fract_x
_atom_site_fract_y
_atom_site_fract_z
Y1 Y 0.0000 0.0000 0.0000
Y2 Y 0.3333 0.6667 0.4965
Al1 Al 0.6667 0.3333 0.2465
Al2 Al 0.6667 0.3333 0.7408
Pd1 Pd 0.3333 0.6667 0.8304
Pt1 Pt 0.0000 0.0000 0.3294
Pt2 Pt 0.0000 0.0000 0.6701
Pt3 Pt 0.3333 0.6667 0.1628
```



What are the E_tot values for these records? In order: -10.842; -52.815 eV for the cell shown.
What are the ρ values for these records? In order: 6.539; 10.114 g/cm3.